Entry 1:
Density functional theory data (PBE-GGA) for AcPmNdS3 after structural relaxation.

Structure (POSCAR):
```
AcPmNdS3
1.0
4.1138 0.0000 0.0000
0.0000 7.9478 -0.0897
0.0000 -2.1148 10.1492
S Ac Pm Nd
6 2 2 2
Cartesian
3.0853 3.3237 1.8587 S
3.0853 6.9455 1.0580 S
3.0853 0.5819 4.3510 S
1.0284 5.2510 5.7085 S
1.0284 2.5093 8.2008 S
1.0284 -1.1125 9.0016 S
1.0284 1.0106 2.0725 Ac
3.0853 4.8224 7.9870 Ac
1.0284 5.0477 0.9033 Pm
3.0853 0.7852 9.1563 Pm
3.0853 5.6893 3.7819 Nd
1.0284 0.1437 6.2777 Nd
```

---

Entry 2:
Density functional theory data (PBE-GGA) for Ac3Pm3NdS8 after structural relaxation.

Structure (POSCAR):
```
Ac3Pm3NdS8
1.0
-8.0011 -1.9026 0.0388
5.3559 -4.6635 4.1482
-1.8152 7.6913 2.8368
S Pm Nd Ac
8 3 1 3
Cartesian
0.2075 -0.8138 2.8935 S
-4.6679 1.9391 4.1302 S
-2.4807 1.5009 0.8136 S
-1.9797 -0.3757 6.2101 S
-3.7944 -1.7599 2.8927 S
-0.6660 2.8851 4.1310 S
-6.4542 0.5560 0.8328 S
1.9938 0.5692 6.1909 S
-4.9082 2.8944 1.4378 Pm
1.7704 1.5139 3.4925 Pm
-2.2302 0.5626 3.5119 Pm
-0.9076 3.8457 1.4184 Nd
-1.3226 -3.2831 2.0935 Ac
2.6779 -2.3318 2.0741 Ac
0.0000 0.0000 0.0000 Ac
```

---

Quick rundown of energy relative to the elements, uncorrected, same order as above: -10.844, -30.579 eV/f.u.